Entry 1:
Entry from the Alexandria database: an optimized crystal structure of Cd2GaRe2 (PBE).

Values from the calculation:
Relative energy among the computed polymorphs   244 meV per atom
E   -5.261 eV/atom
ΔE_f   690 meV per atom

```
data_Cd2GaRe2
_chemical_formula_sum 'Cd2 Ga1 Re2'
_symmetry_space_group_name_H-M 'P 1'
_symmetry_Int_Tables_number 1
_cell_length_a 7.964
_cell_length_b 7.964
_cell_length_c 7.964
_cell_angle_alpha 153.61
_cell_angle_beta 153.61
_cell_angle_gamma 37.67
loop_
_symmetry_equiv_pos_as_xyz
'x,y,z'
loop_
_atom_site_label
_atom_site_type_symbol
_atom_site_fract_x
_atom_site_fract_y
_atom_site_fract_z
Cd1 Cd 0.098 0.098 0.000
Cd2 Cd 0.902 0.902 0.000
Ga1 Ga 0.500 0.500 0.000
Re1 Re 0.250 0.750 0.500
Re2 Re 0.750 0.250 0.500
```

Entry 2:
Entry from the Alexandria database: an optimized crystal structure of Tc7C5 (PBE).

Values from the calculation:
E   -8.741 eV/atom
ΔE_f   1149 meV per atom

```
data_Tc7C5
_chemical_formula_sum 'Tc7 C5'
_symmetry_space_group_name_H-M 'P 1'
_symmetry_Int_Tables_number 1
_cell_length_a 5.973
_cell_length_b 5.973
_cell_length_c 5.973
_cell_angle_alpha 103.85
_cell_angle_beta 103.85
_cell_angle_gamma 121.42
loop_
_symmetry_equiv_pos_as_xyz
'x,y,z'
loop_
_atom_site_label
_atom_site_type_symbol
_atom_site_fract_x
_atom_site_fract_y
_atom_site_fract_z
Tc1 Tc 0.000 0.000 0.000
Tc2 Tc 0.170 0.670 0.500
Tc3 Tc 0.194 0.432 0.762
Tc4 Tc 0.432 0.194 0.762
Tc5 Tc 0.432 0.670 0.238
Tc6 Tc 0.670 0.170 0.500
Tc7 Tc 0.670 0.432 0.238
C1 C 0.341 0.341 0.371
C2 C 0.341 0.970 0.000
C3 C 0.661 0.661 0.000
C4 C 0.970 0.341 0.000
C5 C 0.970 0.970 0.629
```

Entry 3:
Entry from the Alexandria database: an optimized crystal structure of FeCo (PBE).

Values from the calculation:
E   -7.818 eV/atom
ΔE_f   -34 meV per atom

```
data_FeCo
_chemical_formula_sum 'Fe4 Co4'
_symmetry_space_group_name_H-M 'P 1'
_symmetry_Int_Tables_number 1
_cell_length_a 4.716
_cell_length_b 4.013
_cell_length_c 4.924
_cell_angle_alpha 90.00
_cell_angle_beta 100.09
_cell_angle_gamma 90.00
loop_
_symmetry_equiv_pos_as_xyz
'x,y,z'
loop_
_atom_site_label
_atom_site_type_symbol
_atom_site_fract_x
_atom_site_fract_y
_atom_site_fract_z
Fe1 Fe 0.128 0.250 0.186
Fe2 Fe 0.372 0.750 0.564
Fe3 Fe 0.628 0.250 0.436
Fe4 Fe 0.872 0.750 0.814
Co1 Co 0.125 0.250 0.686
Co2 Co 0.368 0.750 0.062
Co3 Co 0.632 0.250 0.938
Co4 Co 0.875 0.750 0.314
```

Entry 4:
Entry from the Alexandria database: an optimized crystal structure of YZn2Ru (PBE).

Values from the calculation:
E   -4.619 eV/atom
ΔE_f   -47 meV per atom

```
data_YZn2Ru
_chemical_formula_sum 'Y1 Zn2 Ru1'
_symmetry_space_group_name_H-M 'P 1'
_symmetry_Int_Tables_number 1
_cell_length_a 4.669
_cell_length_b 4.669
_cell_length_c 3.404
_cell_angle_alpha 90.00
_cell_angle_beta 90.00
_cell_angle_gamma 108.50
loop_
_symmetry_equiv_pos_as_xyz
'x,y,z'
loop_
_atom_site_label
_atom_site_type_symbol
_atom_site_fract_x
_atom_site_fract_y
_atom_site_fract_z
Y1 Y 0.000 0.000 0.000
Zn1 Zn 0.000 0.500 0.500
Zn2 Zn 0.500 0.000 0.500
Ru1 Ru 0.500 0.500 0.000
```

Entry 5:
Entry from the Alexandria database: an optimized crystal structure of GeMo3 (PBE).

Values from the calculation:
E   -9.439 eV/atom
ΔE_f   -162 meV per atom

```
data_GeMo3
_chemical_formula_sum 'Ge2 Mo6'
_symmetry_space_group_name_H-M 'P 1'
_symmetry_Int_Tables_number 1
_cell_length_a 4.968
_cell_length_b 4.968
_cell_length_c 4.968
_cell_angle_alpha 90.00
_cell_angle_beta 90.00
_cell_angle_gamma 90.00
loop_
_symmetry_equiv_pos_as_xyz
'x,y,z'
loop_
_atom_site_label
_atom_site_type_symbol
_atom_site_fract_x
_atom_site_fract_y
_atom_site_fract_z
Ge1 Ge 0.000 0.000 0.000
Ge2 Ge 0.500 0.500 0.500
Mo1 Mo 0.000 0.250 0.500
Mo2 Mo 0.000 0.750 0.500
Mo3 Mo 0.250 0.500 0.000
Mo4 Mo 0.500 0.000 0.250
Mo5 Mo 0.500 0.000 0.750
Mo6 Mo 0.750 0.500 0.000
```

Entry 6:
Entry from the Alexandria database: an optimized crystal structure of Sm2ErZn (PBE).

Values from the calculation:
Relative energy among the computed polymorphs   128 meV per atom
E   -3.848 eV/atom
ΔE_f   -29 meV per atom

```
data_Sm2ErZn
_chemical_formula_sum 'Sm2 Er1 Zn1'
_symmetry_space_group_name_H-M 'P 1'
_symmetry_Int_Tables_number 1
_cell_length_a 10.677
_cell_length_b 10.677
_cell_length_c 10.677
_cell_angle_alpha 19.39
_cell_angle_beta 19.39
_cell_angle_gamma 19.39
loop_
_symmetry_equiv_pos_as_xyz
'x,y,z'
loop_
_atom_site_label
_atom_site_type_symbol
_atom_site_fract_x
_atom_site_fract_y
_atom_site_fract_z
Sm1 Sm 0.240 0.240 0.240
Sm2 Sm 0.760 0.760 0.760
Er1 Er 0.000 0.000 0.000
Zn1 Zn 0.500 0.500 0.500
```

Entry 7:
Entry from the Alexandria database: an optimized crystal structure of RbBe2InF8 (PBE).

Values from the calculation:
E   -5.145 eV/atom

```
data_RbBe2InF8
_chemical_formula_sum 'Rb1 Be2 In1 F8'
_symmetry_space_group_name_H-M 'P 1'
_symmetry_Int_Tables_number 1
_cell_length_a 5.001
_cell_length_b 5.001
_cell_length_c 8.338
_cell_angle_alpha 94.58
_cell_angle_beta 94.58
_cell_angle_gamma 65.96
loop_
_symmetry_equiv_pos_as_xyz
'x,y,z'
loop_
_atom_site_label
_atom_site_type_symbol
_atom_site_fract_x
_atom_site_fract_y
_atom_site_fract_z
Rb1 Rb 0.000 0.000 0.000
Be1 Be 0.376 0.376 0.710
Be2 Be 0.624 0.624 0.290
In1 In 0.000 0.000 0.500
F1 F 0.247 0.247 0.558
F2 F 0.247 0.721 0.684
F3 F 0.279 0.753 0.316
F4 F 0.316 0.316 0.872
F5 F 0.684 0.684 0.128
F6 F 0.721 0.247 0.684
F7 F 0.753 0.279 0.316
F8 F 0.753 0.753 0.442
```

Entry 8:
Entry from the Alexandria database: an optimized crystal structure of MgPbN2 (PBE).

Values from the calculation:
E   -5.397 eV/atom

```
data_MgPbN2
_chemical_formula_sum 'Mg4 Pb4 N8'
_symmetry_space_group_name_H-M 'P 1'
_symmetry_Int_Tables_number 1
_cell_length_a 6.161
_cell_length_b 7.091
_cell_length_c 5.720
_cell_angle_alpha 90.00
_cell_angle_beta 90.00
_cell_angle_gamma 90.00
loop_
_symmetry_equiv_pos_as_xyz
'x,y,z'
loop_
_atom_site_label
_atom_site_type_symbol
_atom_site_fract_x
_atom_site_fract_y
_atom_site_fract_z
Mg1 Mg 0.083 0.125 0.000
Mg2 Mg 0.417 0.625 0.500
Mg3 Mg 0.583 0.375 0.000
Mg4 Mg 0.917 0.875 0.500
Pb1 Pb 0.088 0.625 0.001
Pb2 Pb 0.412 0.125 0.501
Pb3 Pb 0.588 0.875 0.001
Pb4 Pb 0.912 0.375 0.501
N1 N 0.075 0.118 0.370
N2 N 0.088 0.632 0.390
N3 N 0.412 0.132 0.890
N4 N 0.425 0.618 0.870
N5 N 0.575 0.382 0.370
N6 N 0.588 0.868 0.390
N7 N 0.912 0.368 0.890
N8 N 0.925 0.882 0.870
```

Which formula does entry 3 have? FeCo

E of number 7 (RbBe2InF8)? -5.145 eV/atom

Which value of E does entry 1 give? -5.261 eV/atom